VASP calculation (PBE with a Hubbard U) on K4PaNi3O8 after structural relaxation.

Lattice parameters (Å, degrees): 6.4413 7.2064 6.4450 116.56 119.98 90.00
Closest atoms and distances in Å follow each position.
Atoms (fractional coordinates):
K 0.0000 0.0000 0.0000  6 O 2.67-2.81
K 0.5000 0.0000 0.5000  6 O 2.67-2.81
K 0.5000 0.0000 0.0000  6 O 2.67-2.68
K 0.0000 0.0000 0.5000  6 O 2.67-2.81
O 0.2698 0.3109 0.0402  1 Pa 2.19, 2 Ni 2.20
O 0.7704 0.3109 0.0402  1 Pa 2.19, 2 Ni 2.20
O 0.7302 0.6891 0.9598  1 Pa 2.19, 2 Ni 2.20
O 0.2801 0.3403 0.5602  3 Ni 2.10-2.11
O 0.2296 0.6891 0.9598  1 Pa 2.19, 2 Ni 2.20
O 0.7705 0.3111 0.5410  1 Pa 2.20, 2 Ni 2.20
O 0.2295 0.6889 0.4590  1 Pa 2.20, 2 Ni 2.20
O 0.7199 0.6597 0.4398  3 Ni 2.10-2.11
Ni 0.0000 0.5000 0.5000  6 O 2.10-2.20
Ni 0.5000 0.5000 0.5000  6 O 2.10-2.20
Ni 0.5000 0.5000 0.0000  6 O 2.11-2.20
Pa 0.0000 0.5000 0.0000  6 O 2.19-2.20

* crystal system: trigonal
* E_tot: -5.492 eV/atom
* space group: No. 166
* V: 222 Å³/cell